# MnCd3Cu

A relaxed structure of MnCd3Cu (GGA-PBE, Alexandria).

Unit cell a=4.9269 b=4.9269 c=4.9269 alpha=90.00 beta=90.00 gamma=90.00
Closest atoms and distances in Å follow each position.
Positions (direct):
Mn (0.0000, 0.0000, 0.0000)  12 Cd 3.48
Cd (0.0000, 0.5000, 0.5000)  2 Cu 2.46
Cd (0.5000, 0.0000, 0.5000)  2 Cu 2.46
Cd (0.5000, 0.5000, 0.0000)  2 Cu 2.46
Cu (0.5000, 0.5000, 0.5000)  6 Cd 2.46

Computed properties:
**Space-group type**: Pm-3m, No. 221
**Formation enthalpy at 0 K**: 565 meV per atom
**Excess energy over the best structure of this formula in the dataset**: 0.00 kJ per mole of atoms
**M_tot**: 4.55 μB per cell